VASP calculation (PBE) on NiSbSe after structural relaxation.

Summary:
Crystal system = trigonal
Symmetry = P3m1 (156)

Cell: 3.7409 3.7409 4.9898 Å, 90.00 90.00 120.00°
Fractional coordinates of all 3 atoms:
Sb1 0.3333 0.6667 0.2580
Se1 0.6667 0.3333 0.7616
Ni1 0.0000 0.0000 0.9804

---

VASP calculation (PBE) on NiSbSe after structural relaxation.

Summary:
Crystal system = orthorhombic
Symmetry = Fmm2 (42)

Cell: 6.3194 6.1956 3.3143 Å, 76.72 72.59 30.69°
Fractional coordinates of all 3 atoms:
Se1 0.6085 0.6085 0.3915
Sb1 0.3736 0.3736 0.6264
Ni1 0.0179 0.0179 0.9821

---

VASP calculation (PBE) on Ni2SbSe after structural relaxation.

Summary:
Crystal system = monoclinic
Symmetry = Cm (8)

Cell: 3.9721 3.9721 5.1534 Å, 84.55 84.55 56.59°
Fractional coordinates of all 4 atoms:
Sb1 0.4598 0.4598 0.4974
Ni1 0.1053 0.1053 0.7651
Ni2 0.1621 0.1621 0.2571
Se1 0.7728 0.7728 0.9804

---

VASP calculation (PBE) on Ni4SbSe after structural relaxation.

Summary:
Crystal system = cubic
Symmetry = F-43m (216)

Cell: 4.9325 4.9325 4.9325 Å, 60.00 60.00 60.00°
Fractional coordinates of all 6 atoms:
Se1 0.0000 0.0000 0.0000
Ni1 0.3750 0.3750 0.8749
Ni2 0.3750 0.3750 0.3750
Ni3 0.8749 0.3750 0.3750
Ni4 0.3750 0.8749 0.3750
Sb1 0.7500 0.7500 0.7500

---

VASP calculation (PBE) on NiSb2Se after structural relaxation.

Summary:
Crystal system = orthorhombic
Symmetry = Imm2 (44)

Cell: 6.2849 6.2849 6.2849 Å, 147.34 135.99 55.87°
Fractional coordinates of all 4 atoms:
Sb1 0.9198 0.9198 0.0000
Sb2 0.2445 0.7445 0.5000
Se1 0.5925 0.5925 0.0000
Ni1 0.7433 0.2433 0.5000

---

VASP calculation (PBE) on NiSb2Se after structural relaxation.

Summary:
Crystal system = orthorhombic
Symmetry = Amm2 (38)

Cell: 3.6488 5.1644 5.1630 Å, 62.11 90.00 90.00°
Fractional coordinates of all 4 atoms:
Se1 0.0000 0.5617 0.5614
Sb1 0.5000 0.2479 0.2481
Sb2 0.0000 0.9474 0.9475
Ni1 0.5000 0.7429 0.7431

---

| no. | calculated total energy (eV/atom) | DOS(E_F) (states/eV per cell) |
| --- | --- | --- |
| 1 | -4.694 | 1.5 |
| 2 | -4.412 | 2.2 |
| 3 | -5.012 | 2.9 |
| 4 | -4.888 | 5.2 |
| 5 | -4.324 | 3.1 |
| 6 | -4.481 | 1.6 |